A plane-wave DFT calculation with GGA-PBE was carried out for a geometry-optimized Ac6La2Mg structure.

For the calculated volume, the calculation gives 42.1 Å³ per atom. The excess energy over the best structure of this formula in the dataset is 0.35 eV per formula unit. The energy of formation from the pure elements is 7.7 kJ/mol of atoms. As for the raw total energy: -3.931 eV per atom. As for the space-group type: P-6m2 (187). As for the density of states at the Fermi level: 14.9 states/eV/f.u.

abc: 3.9114 3.9114 28.6295
angles: 90.00 90.00 120.00
With the nearest neighbours (Å) after each atom.
Positions (direct):
Ac1 0.3333 0.6667 0.4331  3 La 3.82, 7 Ac 3.83-3.91
Ac2 0.3333 0.6667 0.2135  9 Ac 3.91-3.98, 3 La 3.92
Ac3 0.3333 0.6667 0.5669  3 La 3.82, 7 Ac 3.83-3.91
Ac4 0.6667 0.3333 0.0991  3 Mg 3.63, 9 Ac 3.91-3.98
Ac5 0.6667 0.3333 0.9009  3 Mg 3.63, 9 Ac 3.91-3.98
Ac6 0.3333 0.6667 0.7865  9 Ac 3.91-3.98, 3 La 3.92
La1 0.6667 0.3333 0.6747  6 Ac 3.82-3.92, 6 La 3.91
La2 0.6667 0.3333 0.3253  6 Ac 3.82-3.92, 6 La 3.91
Mg1 0.3333 0.6667 0.0000  6 Ac 3.63, 6 Mg 3.91

A plane-wave DFT calculation with GGA-PBE was carried out for a geometry-optimized Nd2EuSi structure.

For the calculated volume, the calculation gives 27.6 Å³ per atom. The excess energy over the best structure of this formula in the dataset is 0.00 eV per formula unit. For the formation energy (no corrections), the calculation gives -207.0 meV per atom. As for the raw total energy: -6.515 eV per atom. As for the space-group type: P4/mmm (123). As for the density of states at the Fermi level: 4.0 states/eV/f.u.

abc: 4.6685 4.8603 4.8603
angles: 90.00 90.00 90.00
With the nearest neighbours (Å) after each atom.
Positions (direct):
Nd1 0.0000 0.5000 0.0000  4 Si 3.37, 4 Eu 3.37, 4 Nd 3.44
Nd2 0.0000 0.0000 0.5000  4 Si 3.37, 4 Eu 3.37, 4 Nd 3.44
Eu1 0.5000 0.0000 0.0000  8 Nd 3.37, 4 Si 3.44
Si1 0.5000 0.5000 0.5000  8 Nd 3.37, 4 Eu 3.44

A plane-wave DFT calculation with GGA-PBE was carried out for a geometry-optimized NpTlAg2Br6 structure.

For the calculated volume, the calculation gives 35.5 Å³ per atom. For the formation energy (no corrections), the calculation gives -808.2 meV per atom. As for the raw total energy: -3.913 eV per atom. As for the space-group type: R3 (146). As for the density of states at the Fermi level: 4.9 states/eV/f.u.

abc: 7.6757 7.6753 8.2469
angles: 90.00 117.71 120.02
With the nearest neighbours (Å) after each atom.
Positions (direct):
Ag1 0.4889 0.2439 0.7189  3 Br 2.64
Ag2 0.6131 0.8064 0.4050  6 Br 2.84-3.06
Br1 0.8152 0.7697 0.2035  1 Ag 2.84, 1 Np 2.85
Br2 0.1130 0.1854 0.7078  1 Ag 2.64, 1 Np 2.96
Br3 0.1736 0.4023 0.2039  1 Ag 2.84, 1 Np 2.85
Br4 0.4477 0.0446 0.2036  1 Ag 2.84, 1 Np 2.85
Br5 0.7954 0.6088 0.7080  1 Ag 2.64, 1 Np 2.96
Br6 0.5367 0.9267 0.7081  1 Ag 2.64, 1 Np 2.96
Tl1 0.9793 0.4892 0.4543  6 Br 3.28-3.36
Np1 0.0027 0.0008 0.9894  6 Br 2.85-2.96

A plane-wave DFT calculation with GGA-PBE was carried out for a geometry-optimized EuCd2Ag structure.

For the calculated volume, the calculation gives 25.7 Å³ per atom. The energy of formation from the pure elements is -16.2 kJ/mol of atoms. As for the raw total energy: -3.907 eV per atom. As for the space-group type: P4/mmm (123). As for the density of states at the Fermi level: 11.0 states/eV/f.u.

abc: 4.9055 4.5768 4.5768
angles: 90.00 90.00 90.00
With the nearest neighbours (Å) after each atom.
Positions (direct):
Ag1 0.5000 0.0000 0.0000  4 Eu 3.24, 8 Cd 3.35
Cd1 0.0000 0.0000 0.5000  4 Cd 3.24, 4 Ag 3.35, 4 Eu 3.35
Cd2 0.0000 0.5000 0.0000  4 Cd 3.24, 4 Eu 3.35, 4 Ag 3.35
Eu1 0.5000 0.5000 0.5000  4 Ag 3.24, 8 Cd 3.35

A plane-wave DFT calculation with GGA-PBE was carried out for a geometry-optimized VGaOs3 structure.

For the calculated volume, the calculation gives 17.7 Å³ per atom. The excess energy over the best structure of this formula in the dataset is 0.43 eV per formula unit. The energy of formation from the pure elements is 167.7 kJ/mol of atoms. As for the raw total energy: -7.428 eV per atom. As for the space-group type: Pm-3m (221). As for the density of states at the Fermi level: 4.3 states/eV/f.u.

abc: 4.4540 4.4540 4.4540
angles: 90.00 90.00 90.00
With the nearest neighbours (Å) after each atom.
Positions (direct):
Os1 0.0000 0.5000 0.0000  2 Ga 2.23
Os2 0.0000 0.0000 0.5000  2 Ga 2.23
Os3 0.5000 0.0000 0.0000  2 Ga 2.23
V1 0.5000 0.5000 0.5000  12 Os 3.15
Ga1 0.0000 0.0000 0.0000  6 Os 2.23

A plane-wave DFT calculation with GGA-PBE was carried out for a geometry-optimized K3MnAg2Br8 structure.

For the calculated volume, the calculation gives 34.0 Å³ per atom. For the formation energy (no corrections), the calculation gives -981.2 meV per atom. As for the raw total energy: -3.235 eV per atom. As for the space-group type: P-3m1 (164). As for the density of states at the Fermi level: 1.8 states/eV/f.u.

abc: 7.4425 7.4425 9.9151
angles: 90.00 90.00 120.00
With the nearest neighbours (Å) after each atom.
Positions (direct):
Br1 0.8395 0.6790 0.6551  1 Mn 2.58, 1 Ag 2.75
Br2 0.6667 0.3333 0.0715  1 Ag 2.52
Br3 0.6790 0.8395 0.3449  1 Mn 2.58, 1 Ag 2.75
Br4 0.8395 0.1605 0.6551  1 Mn 2.58, 1 Ag 2.75
Br5 0.1605 0.3210 0.3449  1 Mn 2.58, 1 Ag 2.75
Br6 0.3333 0.6667 0.9285  1 Ag 2.52
Br7 0.1605 0.8395 0.3449  1 Mn 2.58, 1 Ag 2.75
Br8 0.3210 0.1605 0.6551  1 Mn 2.58, 1 Ag 2.75
K1 0.0000 0.0000 0.0000  12 Br 4.00-4.36
K2 0.3333 0.6667 0.6097  4 Br 3.16-3.44
K3 0.6667 0.3333 0.3903  4 Br 3.16-3.44
Mn1 0.0000 0.0000 0.5000  6 Br 2.58
Ag1 0.3333 0.6667 0.1825  4 Br 2.52-2.75
Ag2 0.6667 0.3333 0.8175  4 Br 2.52-2.75

A plane-wave DFT calculation with GGA-PBE was carried out for a geometry-optimized ZrInAg2 structure.

For the calculated volume, the calculation gives 20.4 Å³ per atom. The energy of formation from the pure elements is -4.1 kJ/mol of atoms. As for the raw total energy: -4.289 eV per atom. As for the space-group type: Pmmm (47). As for the density of states at the Fermi level: 4.5 states/eV/f.u.

abc: 4.3435 4.3651 4.3008
angles: 90.00 90.00 90.00
With the nearest neighbours (Å) after each atom.
Positions (direct):
Ag1 0.0000 0.0000 0.0000  4 In 3.06, 4 Zr 3.06, 4 Ag 3.08
Ag2 0.5000 0.5000 0.0000  4 Zr 3.06, 4 In 3.06, 4 Ag 3.08
Zr1 0.0000 0.5000 0.5000  8 Ag 3.06, 4 In 3.08
In1 0.5000 0.0000 0.5000  8 Ag 3.06, 4 Zr 3.08

A plane-wave DFT calculation with GGA-PBE was carried out for a geometry-optimized La2NdSm2Tm2 structure.

For the calculated volume, the calculation gives 33.9 Å³ per atom. The energy of formation from the pure elements is 2.7 kJ/mol of atoms. As for the raw total energy: -4.687 eV per atom. As for the space-group type: C2/m (12). As for the density of states at the Fermi level: 11.5 states/eV/f.u.

abc: 5.1343 6.2891 8.1334
angles: 97.47 90.00 114.09
With the nearest neighbours (Å) after each atom.
Positions (direct):
Tm1 0.7161 0.4322 0.1381  4 Sm 3.57-3.64, 2 Tm 3.57, 3 Nd 3.60-3.64, 3 La 3.66-3.67
Tm2 0.2839 0.5678 0.8619  4 Sm 3.57-3.64, 2 Tm 3.57, 3 Nd 3.60-3.64, 3 La 3.66-3.67
La1 0.1437 0.2874 0.4288  3 La 3.62-3.65, 1 Nd 3.64, 5 Sm 3.64-3.67, 3 Tm 3.66-3.67
La2 0.8563 0.7126 0.5712  3 La 3.62-3.65, 1 Nd 3.64, 5 Sm 3.64-3.67, 3 Tm 3.66-3.67
Sm1 0.4290 0.8581 0.2800  4 Tm 3.57-3.64, 2 Nd 3.60, 5 La 3.64-3.67, 1 Sm 3.71
Sm2 0.5710 0.1419 0.7200  4 Tm 3.57-3.64, 2 Nd 3.60, 5 La 3.64-3.67, 1 Sm 3.71
Nd1 0.0000 0.0000 0.0000  6 Tm 3.60-3.64, 4 Sm 3.60, 2 La 3.64

A plane-wave DFT calculation with GGA-PBE was carried out for a geometry-optimized NpAl2Pd structure.

For the calculated volume, the calculation gives 17.9 Å³ per atom. The energy of formation from the pure elements is -11.5 kJ/mol of atoms. As for the raw total energy: -6.524 eV per atom. As for the space-group type: P4/mmm (123). As for the density of states at the Fermi level: 5.6 states/eV/f.u.

abc: 2.7604 5.0973 5.0973
angles: 90.00 90.00 90.00
With the nearest neighbours (Å) after each atom.
Positions (direct):
Al1 0.0000 0.0000 0.5000  2 Al 2.76, 4 Np 2.90, 4 Pd 2.90
Al2 0.0000 0.5000 0.0000  2 Al 2.76, 4 Np 2.90, 4 Pd 2.90
Pd1 0.5000 0.0000 0.0000  2 Pd 2.76, 8 Al 2.90
Np1 0.5000 0.5000 0.5000  2 Np 2.76, 8 Al 2.90

A plane-wave DFT calculation with GGA-PBE was carried out for a geometry-optimized YSiBr structure.

For the calculated volume, the calculation gives 27.9 Å³ per atom. For the formation energy (no corrections), the calculation gives -167.4 meV per atom. As for the raw total energy: -4.687 eV per atom. As for the space-group type: F-43m (216). As for the density of states at the Fermi level: 3.1 states/eV/f.u.

abc: 4.9099 4.9099 4.9099
angles: 60.00 60.00 60.00
With the nearest neighbours (Å) after each atom.
Positions (direct):
Y1 0.7500 0.7500 0.7500  4 Si 3.01, 4 Br 3.01
Si1 0.5000 0.5000 0.5000  4 Y 3.01
Br1 0.0000 0.0000 0.0000  4 Y 3.01

A plane-wave DFT calculation with GGA-PBE was carried out for a geometry-optimized TeRhBr2 structure.

For the calculated volume, the calculation gives 27.9 Å³ per atom. For the formation energy (no corrections), the calculation gives -303.5 meV per atom. As for the raw total energy: -3.763 eV per atom. As for the space-group type: Cm (8). As for the density of states at the Fermi level: 2.5 states/eV/f.u.

abc: 3.9800 3.9800 8.2642
angles: 89.99 89.99 58.39
With the nearest neighbours (Å) after each atom.
Positions (direct):
Br1 0.8190 0.8190 0.6605  3 Rh 2.71-2.73
Br2 0.0377 0.0377 0.0267  1 Te 2.64
Rh1 0.4891 0.4891 0.4818  3 Te 2.58-2.64, 3 Br 2.71-2.73
Te1 0.1542 0.1542 0.3310  3 Rh 2.58-2.64, 1 Br 2.64

A plane-wave DFT calculation with GGA-PBE was carried out for a geometry-optimized KRh4W structure.

For the calculated volume, the calculation gives 16.7 Å³ per atom. The energy of formation from the pure elements is 62.1 kJ/mol of atoms. As for the raw total energy: -6.600 eV per atom. As for the space-group type: F-43m (216). As for the density of states at the Fermi level: 3.4 states/eV/f.u.

abc: 5.2143 5.2143 5.2143
angles: 60.00 60.00 60.00
With the nearest neighbours (Å) after each atom.
Positions (direct):
Rh1 0.3753 0.3753 0.8742  6 Rh 2.60-2.61
Rh2 0.3753 0.8742 0.3753  6 Rh 2.60-2.61
Rh3 0.8742 0.3753 0.3753  6 Rh 2.60-2.61
Rh4 0.3753 0.3753 0.3753  6 Rh 2.60-2.61
W1 0.7500 0.7500 0.7500  12 Rh 3.06, 4 K 3.19
K1 0.0000 0.0000 0.0000  12 Rh 3.06, 4 W 3.19

A plane-wave DFT calculation with GGA-PBE was carried out for a geometry-optimized ThZn2Au4 structure.

For the calculated volume, the calculation gives 19.2 Å³ per atom. The energy of formation from the pure elements is -47.2 kJ/mol of atoms. As for the raw total energy: -3.786 eV per atom. As for the space-group type: I4/mmm (139). As for the density of states at the Fermi level: 3.1 states/eV/f.u.

abc: 5.3603 5.6823 5.6823
angles: 77.15 61.86 61.86
With the nearest neighbours (Å) after each atom.
Positions (direct):
Zn1 0.7500 0.5000 0.5000  2 Zn 2.68, 8 Au 2.89
Zn2 0.2500 0.5000 0.5000  2 Zn 2.68, 8 Au 2.89
Au1 0.6982 0.0000 0.6037  4 Au 2.81-2.87, 4 Zn 2.89, 1 Th 3.02
Au2 0.6982 0.6037 0.0000  4 Au 2.81-2.87, 4 Zn 2.89, 1 Th 3.02
Au3 0.3018 0.3963 0.0000  4 Au 2.81-2.87, 4 Zn 2.89, 1 Th 3.02
Au4 0.3018 0.0000 0.3963  4 Au 2.81-2.87, 4 Zn 2.89, 1 Th 3.02
Th1 0.0000 0.0000 0.0000  12 Au 3.02-3.34